A plane-wave DFT calculation with PBE was carried out for YGa3Tc after structural relaxation.

Geometry as extended XYZ:
```
5
Lattice="-4.575 -0.610 2.646 1.171 -5.120 0.846 2.450 1.310 4.537" Properties=species:S:1:pos:R:3 pbc="T T T"
Y 0.000 0.000 0.000
Tc -0.477 -2.210 4.015
Ga 0.586 -2.560 0.423
Ga 1.225 0.655 2.269
Ga -2.288 -0.305 1.323
```

Results
Its space group is No. 221. The value obtained for the energy relative to the elements is 1408 meV per atom. Its magnetic moment is 0.613 μB/atom. Its calculated total energy is -0.2774 Ry per atom.